No. 1
# PmTh

A relaxed structure of PmTh (PBE-GGA, Alexandria).

Summary:
The distance to the lowest polymorph of the same formula comes out at 53 meV per atom. As for the total DFT energy (no corrections): -6.018 eV/atom. The energy of formation from the pure elements comes out at 0.067 eV/atom. Its space group is P2_1/m (11).

Cell and atoms, written as POSCAR:
```
PmTh
1.0
3.5820 0.0000 0.0000
0.0000 5.9395 0.0000
-0.0022 0.0000 6.2990
Pm Th
2 2
direct
0.2492 0.2500 0.4031
0.7508 0.7500 0.5969
0.2509 0.7500 0.0806
0.7491 0.2500 0.9194
```

---

No. 2
# PmTh4

A relaxed structure of PmTh4 (PBE-GGA, Alexandria).

Summary:
As for the total DFT energy (no corrections): -5.916 eV/atom. The energy of formation from the pure elements comes out at 0.970 eV/atom. Its space group is Pm-3m (221).

Cell and atoms, written as POSCAR:
```
PmTh4
1.0
5.7234 0.0000 0.0000
0.0000 5.7234 0.0000
0.0000 0.0000 5.7234
Pm Th
1 4
direct
0.0000 0.0000 0.0000
0.0000 0.0000 0.5000
0.0000 0.5000 0.0000
0.5000 0.0000 0.0000
0.5000 0.5000 0.5000
```

---

No. 3
# PmTh

A relaxed structure of PmTh (PBE-GGA, Alexandria).

Summary:
The distance to the lowest polymorph of the same formula comes out at 0 meV per atom. As for the total DFT energy (no corrections): -6.071 eV/atom. The energy of formation from the pure elements comes out at 0.014 eV/atom. Its space group is R-3m (166).

Cell and atoms, written as POSCAR:
```
PmTh
1.0
3.6155 0.0000 0.0000
-1.8078 3.1312 0.0000
0.0000 0.0000 35.2356
Pm Th
6 6
direct
0.0000 0.0000 0.1224
0.0000 0.0000 0.8776
0.3333 0.6667 0.5443
0.3333 0.6667 0.7890
0.6667 0.3333 0.2110
0.6667 0.3333 0.4557
0.0000 0.0000 0.2931
0.0000 0.0000 0.7069
0.3333 0.6667 0.3735
0.3333 0.6667 0.9598
0.6667 0.3333 0.0402
0.6667 0.3333 0.6265
```

---

No. 4
# Pm2Th

A relaxed structure of Pm2Th (PBE-GGA, Alexandria).

Summary:
The distance to the lowest polymorph of the same formula comes out at 0 meV per atom. As for the total DFT energy (no corrections): -5.630 eV/atom. The energy of formation from the pure elements comes out at 0.011 eV/atom. Its space group is R-3m (166).

Cell and atoms, written as POSCAR:
```
Pm2Th
1.0
3.6442 0.0000 0.0000
-1.8221 3.1559 0.0000
0.0000 0.0000 26.3097
Pm Th
6 3
direct
0.0000 0.0000 0.2257
0.0000 0.0000 0.7743
0.3333 0.6667 0.4409
0.3333 0.6667 0.8924
0.6667 0.3333 0.1076
0.6667 0.3333 0.5591
0.0000 0.0000 0.0000
0.3333 0.6667 0.6667
0.6667 0.3333 0.3333
```